# 1
# Nb3SnH

A relaxed structure of Nb3SnH (GGA-PBE, Alexandria).

Results
- total magnetic moment (μB per formula unit) = 0.00
- uncorrected energy (eV per cell) = -76.873
- calculated density (g cm⁻³) = 8.39

```
Nb3SnH
1.0
5.563 0.002 -0.011
3.174 4.984 -0.011
-0.876 -1.335 5.693
Sn Nb H
2 6 2
direct
0.672 0.186 0.025
0.671 0.686 0.525
0.672 0.186 0.525
0.142 0.199 0.761
0.146 0.708 0.285
0.672 0.686 0.025
0.201 0.173 0.289
0.197 0.664 0.764
0.281 0.940 0.964
0.062 0.433 0.086
```

# 2
# Nb3SnH

A relaxed structure of Nb3SnH (GGA-PBE, Alexandria).

Results
- total magnetic moment (μB per formula unit) = 0.00
- uncorrected energy (eV per cell) = -76.819
- calculated density (g cm⁻³) = 8.38

```
Nb3SnH
1.0
-4.720 1.505 -2.320
1.048 -4.666 -3.479
-2.459 -2.885 3.131
Nb H Sn
6 2 2
direct
0.375 0.009 0.017
0.847 0.267 0.017
0.070 0.099 0.517
0.122 0.632 0.517
0.584 0.856 0.517
0.352 0.512 0.017
0.109 0.366 0.270
0.109 0.366 0.764
0.868 0.783 0.017
0.583 0.346 0.517
```

# 3
# NbSnH

A relaxed structure of NbSnH (GGA-PBE, Alexandria).

Results
- total magnetic moment (μB per formula unit) = 0.00
- uncorrected energy (eV per cell) = -35.361
- calculated density (g cm⁻³) = 7.24

```
NbSnH
1.0
3.469 0.000 0.000
0.000 3.502 0.000
-1.735 0.000 8.022
Sn Nb H
2 2 2
direct
0.913 0.250 0.826
0.087 0.750 0.174
0.697 0.250 0.395
0.303 0.750 0.605
0.252 0.250 0.504
0.748 0.750 0.496
```

# 4
# Nb3SnH3

A relaxed structure of Nb3SnH3 (GGA-PBE, Alexandria).

Results
- total magnetic moment (μB per formula unit) = 0.00
- uncorrected energy (eV per cell) = -88.330
- calculated density (g cm⁻³) = 7.20

```
Nb3SnH3
1.0
-4.244 -2.542 -2.166
0.037 -5.378 -0.494
-4.411 -3.270 5.750
Nb H Sn
6 6 2
direct
0.116 0.780 0.686
0.220 0.582 0.314
0.582 0.884 0.314
0.780 0.418 0.686
0.418 0.116 0.686
0.884 0.220 0.314
0.485 0.801 0.585
0.801 0.129 0.585
0.515 0.199 0.415
0.129 0.485 0.585
0.199 0.871 0.415
0.871 0.515 0.415
0.669 0.669 0.994
0.331 0.331 0.006
```

# 5
# Nb3SnH

A relaxed structure of Nb3SnH (GGA-PBE, Alexandria).

Results
- total magnetic moment (μB per formula unit) = 0.00
- uncorrected energy (eV per cell) = -76.808
- calculated density (g cm⁻³) = 8.38

```
Nb3SnH
1.0
-1.467 5.195 -0.857
-3.409 0.593 4.784
3.904 1.537 2.591
H Nb Sn
2 6 2
direct
0.094 0.237 0.314
0.263 0.700 0.403
0.324 0.095 0.047
0.360 0.583 0.041
0.841 0.332 0.051
0.095 0.981 0.568
0.575 0.743 0.560
0.052 0.492 0.573
0.847 0.822 0.058
0.567 0.250 0.555
```

# 6
# NbSnH

A relaxed structure of NbSnH (GGA-PBE, Alexandria).

Results
- total magnetic moment (μB per formula unit) = 0.00
- uncorrected energy (eV per cell) = -35.035
- calculated density (g cm⁻³) = 7.58

```
NbSnH
1.0
-1.050 2.582 -4.863
-2.881 -1.552 -0.202
-1.892 2.984 4.052
H Nb Sn
2 2 2
direct
0.334 0.000 0.730
0.334 0.500 0.230
0.210 0.500 0.529
0.210 0.000 0.029
0.764 0.000 0.214
0.764 0.500 0.714
```

# 7
# NbSnH

A relaxed structure of NbSnH (GGA-PBE, Alexandria).

Results
- total magnetic moment (μB per formula unit) = 0.00
- uncorrected energy (eV per cell) = -34.859
- calculated density (g cm⁻³) = 7.60

```
NbSnH
1.0
-2.659 -1.136 0.614
1.486 -2.889 1.089
0.486 3.449 8.484
Nb Sn H
2 2 2
direct
0.500 0.000 0.443
0.500 0.500 0.943
0.000 0.500 0.227
0.000 0.000 0.727
0.500 0.000 0.033
0.500 0.500 0.533
```

# 8
# Nb3SnH

A relaxed structure of Nb3SnH (GGA-PBE, Alexandria).

Results
- total magnetic moment (μB per formula unit) = 0.00
- uncorrected energy (eV per cell) = -151.609
- calculated density (g cm⁻³) = 7.76

```
Nb3SnH
1.0
-8.722 -8.312 8.106
-8.590 -4.313 0.376
3.820 1.148 -8.753
H Nb Sn
4 12 4
direct
0.647 0.821 0.327
0.147 0.173 0.679
0.853 0.827 0.321
0.353 0.179 0.673
0.866 0.532 0.626
0.911 0.842 0.982
0.611 0.818 0.701
0.089 0.158 0.018
0.634 0.126 0.032
0.111 0.799 0.682
0.389 0.182 0.299
0.589 0.482 0.342
0.134 0.468 0.374
0.411 0.518 0.658
0.366 0.874 0.968
0.889 0.201 0.318
0.750 0.546 0.046
0.250 0.454 0.954
0.250 0.850 0.350
0.750 0.150 0.650
```

# 9
# Nb3SnH

A relaxed structure of Nb3SnH (GGA-PBE, Alexandria).

Results
- total magnetic moment (μB per formula unit) = 0.00
- uncorrected energy (eV per cell) = -76.808
- calculated density (g cm⁻³) = 8.37

```
Nb3SnH
1.0
-0.418 1.595 -5.230
-5.685 0.678 1.445
0.939 4.644 1.327
Nb H Sn
6 2 2
direct
0.354 0.982 0.052
0.316 0.464 0.054
0.087 0.583 0.580
0.049 0.065 0.583
0.836 0.230 0.058
0.568 0.817 0.576
0.087 0.322 0.325
0.316 0.725 0.309
0.560 0.305 0.561
0.843 0.742 0.073
```

# 10
# NbSn2H

A relaxed structure of NbSn2H (GGA-PBE, Alexandria).

Results
- total magnetic moment (μB per formula unit) = 0.00
- uncorrected energy (eV per cell) = -40.428
- calculated density (g cm⁻³) = 7.81

```
NbSn2H
1.0
6.551 0.000 0.000
0.000 6.551 0.000
3.275 3.275 3.282
Sn Nb H
4 2 2
direct
0.537 0.125 0.250
0.875 0.787 0.750
0.213 0.625 0.250
0.375 0.463 0.750
0.750 0.250 0.500
0.000 0.000 0.000
0.500 0.500 0.000
0.250 0.750 0.500
```

# 11
# Nb3SnH

A relaxed structure of Nb3SnH (GGA-PBE, Alexandria).

Results
- total magnetic moment (μB per formula unit) = 0.00
- uncorrected energy (eV per cell) = -152.256
- calculated density (g cm⁻³) = 8.27

```
Nb3SnH
1.0
-0.025 -8.992 6.303
0.020 -7.603 -3.347
4.134 0.197 -7.203
Nb H Sn
12 4 4
direct
0.491 0.581 0.810
0.498 0.299 0.563
0.500 0.066 0.310
0.002 0.063 0.799
0.998 0.937 0.201
0.009 0.310 0.081
0.000 0.810 0.566
0.509 0.419 0.190
0.502 0.701 0.437
0.991 0.690 0.919
0.500 0.934 0.690
0.000 0.190 0.434
0.250 0.764 0.264
0.750 0.387 0.887
0.250 0.613 0.113
0.750 0.236 0.736
0.003 0.434 0.713
0.503 0.787 0.066
0.997 0.566 0.287
0.497 0.213 0.934
```

# 12
# Nb3SnH

A relaxed structure of Nb3SnH (GGA-PBE, Alexandria).

Results
- total magnetic moment (μB per formula unit) = 0.00
- uncorrected energy (eV per cell) = -150.864
- calculated density (g cm⁻³) = 8.26

```
Nb3SnH
1.0
-11.837 15.970 -10.143
-4.459 -3.219 0.136
2.952 -3.861 5.407
Sn Nb H
4 12 4
direct
0.193 0.110 0.007
0.807 0.890 0.993
0.693 0.390 0.507
0.307 0.610 0.493
0.572 0.578 0.524
0.694 0.080 0.032
0.040 0.588 0.426
0.194 0.420 0.532
0.460 0.088 0.074
0.928 0.078 0.976
0.428 0.422 0.476
0.072 0.922 0.024
0.540 0.912 0.926
0.806 0.580 0.468
0.306 0.920 0.968
0.960 0.412 0.574
0.442 0.287 0.259
0.942 0.213 0.759
0.558 0.713 0.741
0.058 0.787 0.241
```

# 13
# Nb3SnH

A relaxed structure of Nb3SnH (GGA-PBE, Alexandria).

Results
- total magnetic moment (μB per formula unit) = 0.00
- uncorrected energy (eV per cell) = -34.482
- calculated density (g cm⁻³) = 5.91

```
Nb3SnH
1.0
2.802 0.000 0.000
0.000 2.701 -7.397
0.000 2.701 7.397
Nb Sn H
3 1 1
direct
0.500 0.159 0.344
0.500 0.656 0.841
0.000 0.260 0.740
0.500 0.085 0.915
0.000 0.469 0.531
```

# 14
# Nb3SnH

A relaxed structure of Nb3SnH (GGA-PBE, Alexandria).

Results
- total magnetic moment (μB per formula unit) = 0.00
- uncorrected energy (eV per cell) = -34.909
- calculated density (g cm⁻³) = 6.09

```
Nb3SnH
1.0
-2.749 -2.666 -0.489
2.551 -2.309 -1.751
1.731 -2.963 6.427
Nb H Sn
3 1 1
direct
0.000 0.500 0.427
0.500 0.000 0.427
0.000 0.000 0.145
0.500 0.500 0.512
0.000 0.000 0.753
```

# 15
# Nb3SnH

A relaxed structure of Nb3SnH (GGA-PBE, Alexandria).

Results
- total magnetic moment (μB per formula unit) = 0.00
- uncorrected energy (eV per cell) = -64.464
- calculated density (g cm⁻³) = 5.45

```
Nb3SnH
1.0
4.826 0.000 0.000
0.000 4.826 0.000
2.413 2.413 10.426
Nb H Sn
6 2 2
direct
0.126 0.867 0.749
0.133 0.874 0.251
0.126 0.385 0.749
0.615 0.874 0.251
0.330 0.330 0.340
0.670 0.670 0.660
0.856 0.356 0.288
0.644 0.144 0.712
0.250 0.750 0.500
0.000 0.000 0.000
```

# 16
# Nb2SnH

A relaxed structure of Nb2SnH (GGA-PBE, Alexandria).

Results
- total magnetic moment (μB per formula unit) = 0.00
- uncorrected energy (eV per cell) = -53.180
- calculated density (g cm⁻³) = 7.31

```
Nb2SnH
1.0
-1.739 -1.722 -4.896
5.010 0.794 -2.058
2.785 -4.812 -2.357
Sn H Nb
2 2 4
direct
0.750 0.250 0.500
0.000 0.000 0.000
0.500 0.500 0.000
0.250 0.750 0.500
0.375 0.625 0.750
0.375 0.625 0.250
0.875 0.625 0.750
0.375 0.125 0.250
```

# 17
# Nb3SnH

A relaxed structure of Nb3SnH (GGA-PBE, Alexandria).

Results
- total magnetic moment (μB per formula unit) = 0.00
- uncorrected energy (eV per cell) = -76.552
- calculated density (g cm⁻³) = 8.27

```
Nb3SnH
1.0
6.122 0.000 0.000
0.000 6.757 -0.674
-3.061 -2.997 4.169
Nb Sn H
6 2 2
direct
0.461 0.725 0.453
0.999 0.253 0.998
0.992 0.725 0.453
0.001 0.747 0.002
0.008 0.275 0.547
0.539 0.275 0.547
0.499 0.235 0.997
0.501 0.765 0.003
0.130 0.131 0.261
0.870 0.869 0.739
```

# 18
# Nb3SnH

A relaxed structure of Nb3SnH (GGA-PBE, Alexandria).

Results
- total magnetic moment (μB per formula unit) = 0.00
- uncorrected energy (eV per cell) = -73.610
- calculated density (g cm⁻³) = 7.95

```
Nb3SnH
1.0
-1.918 -1.794 -1.976
1.055 -1.255 2.849
-14.444 6.430 8.181
Nb Sn H
6 2 2
direct
0.667 0.333 0.368
0.333 0.667 0.632
0.000 0.000 0.750
0.333 0.667 0.868
0.000 0.000 0.250
0.667 0.333 0.132
0.000 0.000 0.500
0.000 0.000 0.000
0.333 0.667 0.750
0.667 0.333 0.250
```

# 19
# Nb3SnH

A relaxed structure of Nb3SnH (GGA-PBE, Alexandria).

Results
- total magnetic moment (μB per formula unit) = 0.00
- uncorrected energy (eV per cell) = -151.196
- calculated density (g cm⁻³) = 8.27

```
Nb3SnH
1.0
18.634 0.000 -1.833
0.000 5.512 0.000
-6.720 0.000 3.776
Nb Sn H
12 4 4
direct
0.335 0.250 0.329
0.532 0.750 0.036
0.968 0.250 0.464
0.750 0.500 0.250
0.665 0.750 0.671
0.250 0.500 0.750
0.250 0.000 0.750
0.468 0.250 0.964
0.032 0.750 0.536
0.750 0.000 0.250
0.165 0.750 0.171
0.835 0.250 0.829
0.088 0.250 0.087
0.412 0.750 0.413
0.912 0.750 0.913
0.588 0.250 0.587
0.421 0.750 0.028
0.579 0.250 0.972
0.079 0.250 0.472
0.921 0.750 0.528
```

# 20
# Nb3SnH

A relaxed structure of Nb3SnH (GGA-PBE, Alexandria).

Results
- total magnetic moment (μB per formula unit) = 0.00
- uncorrected energy (eV per cell) = -146.639
- calculated density (g cm⁻³) = 7.38

```
Nb3SnH
1.0
0.000 5.639 5.639
5.639 0.000 5.639
5.639 5.639 0.000
Nb H Sn
12 4 4
direct
0.431 0.431 0.069
0.819 0.181 0.181
0.069 0.069 0.431
0.181 0.819 0.819
0.431 0.069 0.069
0.819 0.181 0.819
0.181 0.181 0.819
0.431 0.069 0.431
0.069 0.431 0.431
0.069 0.431 0.069
0.181 0.819 0.181
0.819 0.819 0.181
0.125 0.125 0.125
0.125 0.125 0.625
0.125 0.625 0.125
0.625 0.125 0.125
0.625 0.625 0.625
0.625 0.125 0.625
0.125 0.625 0.625
0.625 0.625 0.125
```